# GGA-PBE GdHoInFe2, relaxed
# raw total energy = -5.92 eV per atom
data_GdHoInFe2
_space_group_name_H-M_alt 'A m m 2'
_space_group_IT_number 38
_space_group_name_Hall 'A 2 -2'
_cell_length_a 3.996
_cell_length_b 3.780
_cell_length_c 13.749
_cell_angle_alpha 90.00
_cell_angle_beta 90.00
_cell_angle_gamma 90.00
loop_
_atom_site_label
_atom_site_type_symbol
_atom_site_fract_x
_atom_site_fract_y
_atom_site_fract_z
_atom_site_occupancy
Gd1 Gd 0.000 0.000 0.000 1
Ho1 Ho 0.000 0.000 0.724 1
In1 In 0.500 0.000 0.361 1
Fe1 Fe 0.500 0.000 0.154 1
Fe2 Fe 0.500 0.000 0.573 1